[1]
Density functional theory data (PBE) for an optimized crystal structure of Rb2Nb2Cr.

## Properties
Energy   -4.725 eV/atom
Formation enthalpy at 0 K   779 kJ/mol of formula units
Energy above the most stable polymorph in this dataset   384.8 meV/atom

a = 4.2568 Å, b = 4.2568 Å, c = 16.6343 Å
α = 90.00°, β = 90.00°, γ = 90.00°
With the nearest neighbours (Å) after each atom.
Space group I4/mmm (No. 139)
Unique sites:
1 Rb 0.0000 0.5000 0.2500  4 Rb 3.01
2 Nb 0.0000 0.0000 0.0650  1 Nb 2.16
3 Cr 0.0000 0.0000 0.5000  8 Nb 3.20


[2]
Density functional theory data (PBE) for an optimized crystal structure of LiLa2SnAs.

## Properties
Energy   -4.294 eV/atom
Formation enthalpy at 0 K   -101 kJ/mol of formula units

a = 6.1042 Å, b = 6.1042 Å, c = 4.9231 Å
α = 90.00°, β = 90.00°, γ = 90.00°
With the nearest neighbours (Å) after each atom.
Space group P4/mmm (No. 123)
Unique sites:
1 Li 0.0000 0.0000 0.0000  2 Sn 2.46
2 La 0.0000 0.5000 0.5000  2 Sn 3.05
3 Sn 0.0000 0.0000 0.5000  2 Li 2.46
4 As 0.5000 0.5000 0.0000  8 La 3.92, 4 Li 4.32


[3]
Density functional theory data (PBE) for an optimized crystal structure of PaNiRh3.

## Properties
Energy   -7.887 eV/atom
Formation enthalpy at 0 K   -203 kJ/mol of formula units
Energy above the most stable polymorph in this dataset   34.8 meV/atom

a = 6.8446 Å, b = 6.8446 Å, c = 6.8446 Å
α = 90.00°, β = 90.00°, γ = 90.00°
With the nearest neighbours (Å) after each atom.
Space group P2_13 (No. 198)
Unique sites:
1 Pa 0.1957 0.1957 0.1957  3 Ni 2.62, 9 Rh 2.76-2.92
2 Ni 0.0498 0.9502 0.4502  3 Pa 2.62, 6 Rh 2.67-2.91
3 Rh 0.0563 0.1240 0.7986  3 Ni 2.67-2.93, 3 Pa 2.76-2.92, 6 Rh 2.80-2.97


[4]
Density functional theory data (PBE) for an optimized crystal structure of B3PbN3.

## Properties
Energy   -6.346 eV/atom
ΔE_f (raw)   0.6134 eV per atom

a = 4.9200 Å, b = 4.9200 Å, c = 4.9200 Å
α = 90.00°, β = 90.00°, γ = 90.00°
With the nearest neighbours (Å) after each atom.
Space group Pm-3n (No. 223)
Unique sites:
1 B 0.0000 0.2500 0.5000  4 N 1.74
2 Pb 0.0000 0.0000 0.0000  12 B 2.75, 12 N 2.75
3 N 0.0000 0.5000 0.2500  4 B 1.74


> Which formula does entry 2 have?

LiLa2SnAs


> Which value of energy does entry 2 give?

-4.294 eV/atom


> Among the records above, which one has the highest energy?

LiLa2SnAs


> Which formula does entry 2 have?

LiLa2SnAs